[1]
Density functional theory data (GGA-PBE) for a geometry-optimized Pu2HPt structure.

a b c (Å): 5.7528 5.9837 9.1878
angles (deg): 102.00 78.48 104.04
With the nearest neighbours (Å) after each atom.
Element x y z (fractional)
1 Pu 0.1651 0.5034 0.8319  2 H 2.21-2.25
2 Pt 0.3799 0.6316 0.1255  2 Pt 2.81-2.82, 8 Pu 3.01-3.11
3 Pt 0.1259 0.8872 0.3712  2 Pt 2.79-2.81, 7 Pu 2.97-3.12, 2 H 3.09-3.11
4 Pu 0.2541 0.0893 0.0868  2 H 2.23
5 H 0.1335 0.8791 0.8736  4 Pu 2.22-2.25, 1 H 2.37
6 Pu 0.3339 0.9991 0.6616  2 H 2.21-2.22
7 H 0.8665 0.1209 0.1264  4 Pu 2.22-2.25, 1 H 2.37
8 Pu 0.2581 0.4220 0.4211  2 H 2.22-2.27
9 H 0.1211 0.6369 0.6344  4 Pu 2.21-2.27, 1 H 2.37
10 Pu 0.6661 0.0009 0.3384  2 H 2.21-2.22
11 Pu 0.7459 0.9107 0.9132  2 H 2.23
12 Pu 0.7419 0.5780 0.5789  2 H 2.22-2.27
13 Pt 0.6201 0.3684 0.8745  2 Pt 2.81-2.82, 8 Pu 3.01-3.11
14 Pu 0.8349 0.4966 0.1681  2 H 2.21-2.25
15 Pt 0.8741 0.1128 0.6288  2 Pt 2.79-2.81, 7 Pu 2.97-3.12, 2 H 3.09-3.11
16 H 0.8789 0.3631 0.3656  4 Pu 2.21-2.27, 1 H 2.37

Values from the calculation:
SG	P-1
relative energy among the computed polymorphs	0.0	meV per atom

***

[2]
Density functional theory data (GGA-PBE) for a geometry-optimized Pu2H12PtRh3 structure.

a b c (Å): 6.2032 6.2032 6.2032
angles (deg): 58.39 58.39 58.39
With the nearest neighbours (Å) after each atom.
Element x y z (fractional)
1 H 0.6510 0.0855 0.6510  2 Rh 1.74
2 H 0.6510 0.6510 0.0855  2 Rh 1.74
3 Pu 0.6262 0.6262 0.6262  6 H 2.40-2.43
4 H 0.3490 0.9145 0.3490  2 Rh 1.74
5 H 0.3492 0.9068 0.9068  1 Rh 1.74, 1 Pt 1.76
6 H 0.6508 0.0932 0.0932  1 Rh 1.74, 1 Pt 1.76
7 Rh 0.0000 0.5000 0.0000  6 H 1.74
8 H 0.9068 0.9068 0.3492  1 Rh 1.74, 1 Pt 1.76
9 H 0.0932 0.0932 0.6508  1 Rh 1.74, 1 Pt 1.76
10 H 0.0932 0.6508 0.0932  1 Rh 1.74, 1 Pt 1.76
11 Pu 0.3738 0.3738 0.3738  6 H 2.40-2.43
12 Pt 0.0000 0.0000 0.0000  6 H 1.76
13 Rh 0.5000 0.0000 0.0000  6 H 1.74
14 Rh 0.0000 0.0000 0.5000  6 H 1.74
15 H 0.3490 0.3490 0.9145  2 Rh 1.74
16 H 0.0855 0.6510 0.6510  2 Rh 1.74
17 H 0.9145 0.3490 0.3490  2 Rh 1.74
18 H 0.9068 0.3492 0.9068  1 Rh 1.74, 1 Pt 1.76

Values from the calculation:
SG	R-3m
E_tot	-5.563	eV per atom

***

[3]
Density functional theory data (GGA-PBE) for a geometry-optimized Pu2HPtRh structure.

a b c (Å): 3.5822 4.9485 4.9485
angles (deg): 90.00 90.00 90.00
With the nearest neighbours (Å) after each atom.
Element x y z (fractional)
1 Pu 0.0000 0.5000 0.0000  2 H 2.47
2 Pu 0.0000 0.0000 0.5000  2 H 2.47
3 Pt 0.5000 0.5000 0.5000  8 Pu 3.05
4 H 0.0000 0.0000 0.0000  2 Rh 1.79
5 Rh 0.5000 0.0000 0.0000  2 H 1.79

Values from the calculation:
SG	P4/mmm
E_tot	-9.594	eV per atom